# 1
# AgAuSe4 | Alexandria | PBE | relaxed
data_AgAuSe4
_chemical_formula_sum 'Ag4 Au4 Se16'
_space_group_name_H-M_alt 'P 1'
_space_group_IT_number 1
_cell_length_a 5.099
_cell_length_b 7.411
_cell_length_c 15.635
_cell_angle_alpha 90.00
_cell_angle_beta 90.00
_cell_angle_gamma 90.00
loop_
_space_group_symop_operation_xyz
'x,y,z'
loop_
_atom_site_label
_atom_site_type_symbol
_atom_site_fract_x
_atom_site_fract_y
_atom_site_fract_z
_atom_site_occupancy
Se1 Se 0.198 0.049 0.034 1
Se2 Se 0.302 0.049 0.534 1
Se3 Se 0.684 0.347 0.293 1
Se4 Se 0.816 0.847 0.207 1
Ag1 Ag 0.500 0.750 0.338 1
Au1 Au 0.500 0.250 0.922 1
Se5 Se 0.302 0.549 0.466 1
Se6 Se 0.184 0.653 0.207 1
Se7 Se 0.184 0.153 0.793 1
Ag2 Ag 0.000 0.250 0.162 1
Se8 Se 0.816 0.347 0.793 1
Se9 Se 0.316 0.653 0.707 1
Se10 Se 0.802 0.451 0.034 1
Au2 Au 0.000 0.750 0.578 1
Au3 Au 0.500 0.750 0.078 1
Se11 Se 0.198 0.549 0.966 1
Se12 Se 0.698 0.451 0.534 1
Se13 Se 0.802 0.951 0.966 1
Se14 Se 0.684 0.847 0.707 1
Ag3 Ag 0.000 0.750 0.838 1
Au4 Au 0.000 0.250 0.422 1
Se15 Se 0.698 0.951 0.466 1
Se16 Se 0.316 0.153 0.293 1
Ag4 Ag 0.500 0.250 0.662 1
# Symmetry: Pbcn
# Raw formation energy in eV per atom: 0.05

---

# 2
# AcLaPdPb | Alexandria | PBE | relaxed
data_AcLaPdPb
_chemical_formula_sum 'Ac1 La1 Pd1 Pb1'
_space_group_name_H-M_alt 'P 1'
_space_group_IT_number 1
_cell_length_a 5.569
_cell_length_b 5.569
_cell_length_c 5.569
_cell_angle_alpha 60.00
_cell_angle_beta 60.00
_cell_angle_gamma 60.00
loop_
_space_group_symop_operation_xyz
'x,y,z'
loop_
_atom_site_label
_atom_site_type_symbol
_atom_site_fract_x
_atom_site_fract_y
_atom_site_fract_z
_atom_site_occupancy
Pb1 Pb 0.000 0.000 0.000 1
Pd1 Pd 0.500 0.500 0.500 1
La1 La 0.750 0.750 0.750 1
Ac1 Ac 0.250 0.250 0.250 1
# Symmetry: F-43m
# ΔH_f (0 K) in eV/atom: -0.5732

---

# 3
# SrTeW2 | Alexandria | PBE | relaxed
data_SrTeW2
_chemical_formula_sum 'Sr1 Te1 W2'
_space_group_name_H-M_alt 'P 1'
_space_group_IT_number 1
_cell_length_a 4.922
_cell_length_b 4.922
_cell_length_c 4.922
_cell_angle_alpha 119.98
_cell_angle_beta 119.98
_cell_angle_gamma 90.04
loop_
_space_group_symop_operation_xyz
'x,y,z'
loop_
_atom_site_label
_atom_site_type_symbol
_atom_site_fract_x
_atom_site_fract_y
_atom_site_fract_z
_atom_site_occupancy
W1 W 0.250 0.750 0.500 1
W2 W 0.000 0.000 0.000 1
Te1 Te 0.750 0.250 0.500 1
Sr1 Sr 0.500 0.500 0.000 1
# Symmetry: F-43m
# Raw formation energy in eV per atom: 1.00

---

# 4
# Ac2TbCeBi4 | Alexandria | PBE | relaxed
data_Ac2TbCeBi4
_chemical_formula_sum 'Ac2 Tb1 Ce1 Bi4'
_space_group_name_H-M_alt 'P 1'
_space_group_IT_number 1
_cell_length_a 4.718
_cell_length_b 8.171
_cell_length_c 8.160
_cell_angle_alpha 70.54
_cell_angle_beta 90.00
_cell_angle_gamma 90.00
loop_
_space_group_symop_operation_xyz
'x,y,z'
loop_
_atom_site_label
_atom_site_type_symbol
_atom_site_fract_x
_atom_site_fract_y
_atom_site_fract_z
_atom_site_occupancy
Bi1 Bi 0.000 0.731 0.754 1
Ce1 Ce 0.500 0.500 0.000 1
Tb1 Tb 0.000 0.500 0.500 1
Bi2 Bi 0.500 0.270 0.741 1
Bi3 Bi 0.000 0.269 0.246 1
Bi4 Bi 0.500 0.730 0.259 1
Ac1 Ac 0.500 0.000 0.500 1
Ac2 Ac 0.000 0.000 0.000 1
# Symmetry: P2/m
# ΔH_f (0 K) in eV/atom: -0.9073

---

# 5
# LiPr3Cd2 | Alexandria | PBE | relaxed
data_LiPr3Cd2
_chemical_formula_sum 'Li1 Pr3 Cd2'
_space_group_name_H-M_alt 'P 1'
_space_group_IT_number 1
_cell_length_a 3.904
_cell_length_b 3.904
_cell_length_c 11.455
_cell_angle_alpha 90.00
_cell_angle_beta 90.00
_cell_angle_gamma 90.00
loop_
_space_group_symop_operation_xyz
'x,y,z'
loop_
_atom_site_label
_atom_site_type_symbol
_atom_site_fract_x
_atom_site_fract_y
_atom_site_fract_z
_atom_site_occupancy
Cd1 Cd 0.500 0.500 0.831 1
Pr1 Pr 0.000 0.000 0.000 1
Cd2 Cd 0.500 0.500 0.169 1
Pr2 Pr 0.000 0.000 0.331 1
Li1 Li 0.500 0.500 0.500 1
Pr3 Pr 0.000 0.000 0.669 1
# Symmetry: P4/mmm
# ΔH_f (0 K) in eV/atom: -0.1869

---

# 6
# La6TmTh2 | Alexandria | PBE | relaxed
data_La6TmTh2
_chemical_formula_sum 'La6 Tm1 Th2'
_space_group_name_H-M_alt 'P 1'
_space_group_IT_number 1
_cell_length_a 3.636
_cell_length_b 3.636
_cell_length_c 27.519
_cell_angle_alpha 90.00
_cell_angle_beta 90.00
_cell_angle_gamma 120.00
loop_
_space_group_symop_operation_xyz
'x,y,z'
loop_
_atom_site_label
_atom_site_type_symbol
_atom_site_fract_x
_atom_site_fract_y
_atom_site_fract_z
_atom_site_occupancy
La1 La 0.333 0.667 0.437 1
Th1 Th 0.667 0.333 0.670 1
La2 La 0.667 0.333 0.895 1
Th2 Th 0.667 0.333 0.330 1
La3 La 0.333 0.667 0.778 1
Tm1 Tm 0.333 0.667 0.000 1
La4 La 0.333 0.667 0.563 1
La5 La 0.667 0.333 0.105 1
La6 La 0.333 0.667 0.222 1
# Symmetry: P-6m2
# ΔH_f (0 K) in eV/atom: 0.0608

---

# 7
# TlSe5 | Alexandria | PBE | relaxed
data_TlSe5
_chemical_formula_sum 'Tl1 Se5'
_space_group_name_H-M_alt 'P 1'
_space_group_IT_number 1
_cell_length_a 7.829
_cell_length_b 7.829
_cell_length_c 7.471
_cell_angle_alpha 59.17
_cell_angle_beta 59.17
_cell_angle_gamma 27.57
loop_
_space_group_symop_operation_xyz
'x,y,z'
loop_
_atom_site_label
_atom_site_type_symbol
_atom_site_fract_x
_atom_site_fract_y
_atom_site_fract_z
_atom_site_occupancy
Se1 Se 0.991 0.991 0.917 1
Se2 Se 0.713 0.713 0.433 1
Se3 Se 0.071 0.071 0.548 1
Se4 Se 0.366 0.366 0.655 1
Se5 Se 0.368 0.368 0.341 1
Tl1 Tl 0.658 0.658 0.939 1
# Symmetry: Cm
# Raw formation energy in eV per atom: 0.01

---

# 8
# SmGdLuPb | Alexandria | PBE | relaxed
data_SmGdLuPb
_chemical_formula_sum 'Sm1 Gd1 Lu1 Pb1'
_space_group_name_H-M_alt 'P 1'
_space_group_IT_number 1
_cell_length_a 5.510
_cell_length_b 5.510
_cell_length_c 5.510
_cell_angle_alpha 60.00
_cell_angle_beta 60.00
_cell_angle_gamma 60.00
loop_
_space_group_symop_operation_xyz
'x,y,z'
loop_
_atom_site_label
_atom_site_type_symbol
_atom_site_fract_x
_atom_site_fract_y
_atom_site_fract_z
_atom_site_occupancy
Sm1 Sm 0.000 0.000 0.000 1
Pb1 Pb 0.250 0.250 0.250 1
Lu1 Lu 0.750 0.750 0.750 1
Gd1 Gd 0.500 0.500 0.500 1
# Symmetry: F-43m
# ΔH_f (0 K) in eV/atom: -0.1464

---

# 9
# PmGa4CuRu2 | Alexandria | PBE | relaxed
data_PmGa4CuRu2
_chemical_formula_sum 'Pm1 Ga4 Cu1 Ru2'
_space_group_name_H-M_alt 'P 1'
_space_group_IT_number 1
_cell_length_a 4.260
_cell_length_b 4.260
_cell_length_c 9.009
_cell_angle_alpha 76.32
_cell_angle_beta 76.32
_cell_angle_gamma 60.00
loop_
_space_group_symop_operation_xyz
'x,y,z'
loop_
_atom_site_label
_atom_site_type_symbol
_atom_site_fract_x
_atom_site_fract_y
_atom_site_fract_z
_atom_site_occupancy
Ga1 Ga 0.129 0.129 0.613 1
Ru1 Ru 0.772 0.772 0.685 1
Cu1 Cu 0.500 0.500 0.500 1
Ga2 Ga 0.599 0.599 0.202 1
Pm1 Pm 0.000 0.000 0.000 1
Ga3 Ga 0.871 0.871 0.387 1
Ga4 Ga 0.401 0.401 0.798 1
Ru2 Ru 0.228 0.228 0.315 1
# Symmetry: R-3m
# ΔH_f (0 K) in eV/atom: -0.3464

---

# 10
# Ga2NiAg2 | Alexandria | PBE | relaxed
data_Ga2NiAg2
_chemical_formula_sum 'Ga4 Ni2 Ag4'
_space_group_name_H-M_alt 'P 1'
_space_group_IT_number 1
_cell_length_a 7.298
_cell_length_b 7.298
_cell_length_c 3.170
_cell_angle_alpha 90.00
_cell_angle_beta 90.00
_cell_angle_gamma 90.00
loop_
_space_group_symop_operation_xyz
'x,y,z'
loop_
_atom_site_label
_atom_site_type_symbol
_atom_site_fract_x
_atom_site_fract_y
_atom_site_fract_z
_atom_site_occupancy
Ga1 Ga 0.331 0.169 0.500 1
Ni1 Ni 0.000 0.000 0.000 1
Ga2 Ga 0.169 0.669 0.500 1
Ag1 Ag 0.364 0.864 0.000 1
Ag2 Ag 0.636 0.136 0.000 1
Ga3 Ga 0.669 0.831 0.500 1
Ag3 Ag 0.864 0.636 0.000 1
Ga4 Ga 0.831 0.331 0.500 1
Ni2 Ni 0.500 0.500 0.000 1
Ag4 Ag 0.136 0.364 0.000 1
# Symmetry: P4/mbm
# ΔH_f (0 K) in eV/atom: 0.2699

---

# 11
# Si3SF | Alexandria | PBE | relaxed
data_Si3SF
_chemical_formula_sum 'Si3 S1 F1'
_space_group_name_H-M_alt 'P 1'
_space_group_IT_number 1
_cell_length_a 4.629
_cell_length_b 4.629
_cell_length_c 4.629
_cell_angle_alpha 90.00
_cell_angle_beta 90.00
_cell_angle_gamma 90.00
loop_
_space_group_symop_operation_xyz
'x,y,z'
loop_
_atom_site_label
_atom_site_type_symbol
_atom_site_fract_x
_atom_site_fract_y
_atom_site_fract_z
_atom_site_occupancy
Si1 Si 0.500 0.000 0.000 1
S1 S 0.000 0.000 0.000 1
Si2 Si 0.000 0.500 0.000 1
F1 F 0.500 0.500 0.500 1
Si3 Si 0.000 0.000 0.500 1
# Symmetry: Pm-3m
# Raw formation energy in eV per atom: 0.76

---

# 12
# ZrBiMoAu2 | Alexandria | PBE | relaxed
data_ZrBiMoAu2
_chemical_formula_sum 'Zr1 Bi1 Mo1 Au2'
_space_group_name_H-M_alt 'P 1'
_space_group_IT_number 1
_cell_length_a 5.179
_cell_length_b 5.250
_cell_length_c 5.179
_cell_angle_alpha 90.00
_cell_angle_beta 90.00
_cell_angle_gamma 90.00
loop_
_space_group_symop_operation_xyz
'x,y,z'
loop_
_atom_site_label
_atom_site_type_symbol
_atom_site_fract_x
_atom_site_fract_y
_atom_site_fract_z
_atom_site_occupancy
Bi1 Bi 0.000 0.000 0.000 1
Au1 Au 0.500 0.000 0.000 1
Zr1 Zr 0.500 0.500 0.500 1
Mo1 Mo 0.000 0.500 0.000 1
Au2 Au 0.000 0.000 0.500 1
# Symmetry: P4/mmm
# ΔH_f (0 K) in eV/atom: 1.3872

---

no.,total energy (eV per atom)
1,-3.296
2,-5.058
3,-6.682
4,-5.195
5,-3.201
6,-5.370
7,-3.284
8,-6.904
9,-5.285
10,-3.238
11,-3.691
12,-4.576